Entry 1:
Crystalline Nb6NiC4 at its relaxed geometry, computed with PBE.

Structure (CIF):
```
data_Nb6NiC4
_chemical_formula_sum 'Nb12 Ni2 C8'
_symmetry_space_group_name_H-M 'P 1'
_symmetry_Int_Tables_number 1
_symmetry_space_group_name_Hall 'P 1'
_cell_length_a 5.575
_cell_length_b 5.575
_cell_length_c 16.570
_cell_angle_alpha 90.00
_cell_angle_beta 90.00
_cell_angle_gamma 146.58
loop_
_atom_site_label
_atom_site_type_symbol
_atom_site_fract_x
_atom_site_fract_y
_atom_site_fract_z
Nb1 Nb 0.000 0.000 0.000
Nb2 Nb 0.000 0.000 0.500
Nb3 Nb 0.154 0.846 0.750
Nb4 Nb 0.278 0.722 0.079
Nb5 Nb 0.278 0.722 0.421
Nb6 Nb 0.459 0.541 0.654
Nb7 Nb 0.459 0.541 0.846
Nb8 Nb 0.541 0.459 0.154
Nb9 Nb 0.541 0.459 0.346
Nb10 Nb 0.722 0.278 0.579
Nb11 Nb 0.722 0.278 0.921
Nb12 Nb 0.846 0.154 0.250
Ni1 Ni 0.166 0.834 0.250
Ni2 Ni 0.834 0.166 0.750
C1 C 0.090 0.910 0.625
C2 C 0.090 0.910 0.875
C3 C 0.362 0.638 0.541
C4 C 0.362 0.638 0.959
C5 C 0.638 0.362 0.041
C6 C 0.638 0.362 0.459
C7 C 0.910 0.090 0.125
C8 C 0.910 0.090 0.375
```

**Crystal system**: orthorhombic
**Energy relative to the elements**: -5.323 eV/f.u.



Entry 2:
Crystalline Li2CuRuN at its relaxed geometry, computed with PBE.

Structure (CIF):
```
data_Li2CuRuN
_chemical_formula_sum 'Li2 Cu1 Ru1 N1'
_symmetry_space_group_name_H-M 'P 1'
_symmetry_Int_Tables_number 1
_symmetry_space_group_name_Hall 'P 1'
_cell_length_a 3.916
_cell_length_b 3.916
_cell_length_c 3.824
_cell_angle_alpha 90.00
_cell_angle_beta 90.00
_cell_angle_gamma 90.00
loop_
_atom_site_label
_atom_site_type_symbol
_atom_site_fract_x
_atom_site_fract_y
_atom_site_fract_z
Li1 Li 0.000 0.500 0.000
Li2 Li 0.500 0.000 0.000
Cu1 Cu 0.000 0.000 0.500
Ru1 Ru 0.500 0.500 0.500
N1 N 0.500 0.500 0.000
```

**Crystal system**: tetragonal
**Energy**: -26.18 eV/cell



Entry 3:
Crystalline Ba2BP2O8 at its relaxed geometry, computed with PBE.

Structure (CIF):
```
data_Ba2BP2O8
_chemical_formula_sum 'Ba4 B2 P4 O16'
_symmetry_space_group_name_H-M 'P 1'
_symmetry_Int_Tables_number 1
_symmetry_space_group_name_Hall 'P 1'
_cell_length_a 8.984
_cell_length_b 8.984
_cell_length_c 8.984
_cell_angle_alpha 131.60
_cell_angle_beta 131.60
_cell_angle_gamma 70.87
loop_
_atom_site_label
_atom_site_type_symbol
_atom_site_fract_x
_atom_site_fract_y
_atom_site_fract_z
Ba1 Ba 0.375 0.249 0.374
Ba2 Ba 0.751 0.125 0.126
Ba3 Ba 0.875 0.001 0.626
Ba4 Ba 0.999 0.625 0.874
B1 B 0.250 0.750 0.500
B2 B 0.500 0.500 0.000
P1 P 0.225 0.125 0.600
P2 P 0.375 0.775 0.900
P3 P 0.525 0.625 0.400
P4 P 0.875 0.475 0.100
O1 O 0.029 0.687 0.329
O2 O 0.057 0.214 0.623
O3 O 0.158 0.036 0.343
O4 O 0.185 0.842 0.877
O5 O 0.300 0.971 0.658
O6 O 0.313 0.642 0.342
O7 O 0.358 0.700 0.671
O8 O 0.392 0.563 0.842
O9 O 0.437 0.279 0.829
O10 O 0.450 0.608 0.171
O11 O 0.565 0.943 0.157
O12 O 0.592 0.435 0.377
O13 O 0.693 0.815 0.657
O14 O 0.721 0.550 0.158
O15 O 0.786 0.408 0.843
O16 O 0.964 0.307 0.123
```

**Crystal system**: tetragonal
**Energy**: -186.23 eV/cell



Entry 4:
Crystalline Rb2AgPbCl6 at its relaxed geometry, computed with PBE.

Structure (CIF):
```
data_Rb2AgPbCl6
_chemical_formula_sum 'Rb2 Ag1 Pb1 Cl6'
_symmetry_space_group_name_H-M 'P 1'
_symmetry_Int_Tables_number 1
_symmetry_space_group_name_Hall 'P 1'
_cell_length_a 7.626
_cell_length_b 7.626
_cell_length_c 7.626
_cell_angle_alpha 120.19
_cell_angle_beta 120.19
_cell_angle_gamma 89.67
loop_
_atom_site_label
_atom_site_type_symbol
_atom_site_fract_x
_atom_site_fract_y
_atom_site_fract_z
Rb1 Rb 0.250 0.750 0.500
Rb2 Rb 0.750 0.250 0.500
Ag1 Ag 0.000 0.000 0.000
Pb1 Pb 0.500 0.500 0.000
Cl1 Cl 0.245 0.245 0.489
Cl2 Cl 0.245 0.755 0.000
Cl3 Cl 0.246 0.246 0.000
Cl4 Cl 0.754 0.754 0.000
Cl5 Cl 0.755 0.245 0.000
Cl6 Cl 0.755 0.755 0.511
```

**Crystal system**: tetragonal
**Distance to the lowest polymorph of the same formula**: 6 meV/atom



Entry 5:
Crystalline CeTlGa at its relaxed geometry, computed with PBE.

Structure (CIF):
```
data_CeTlGa
_chemical_formula_sum 'Ce2 Tl2 Ga2'
_symmetry_space_group_name_H-M 'P 1'
_symmetry_Int_Tables_number 1
_symmetry_space_group_name_Hall 'P 1'
_cell_length_a 3.955
_cell_length_b 3.955
_cell_length_c 9.588
_cell_angle_alpha 90.00
_cell_angle_beta 90.00
_cell_angle_gamma 90.00
loop_
_atom_site_label
_atom_site_type_symbol
_atom_site_fract_x
_atom_site_fract_y
_atom_site_fract_z
Ce1 Ce 0.250 0.250 0.070
Ce2 Ce 0.750 0.750 0.930
Tl1 Tl 0.250 0.250 0.407
Tl2 Tl 0.750 0.750 0.593
Ga1 Ga 0.250 0.250 0.758
Ga2 Ga 0.750 0.750 0.242
```

**Crystal system**: tetragonal
**Distance to the lowest polymorph of the same formula**: 225 meV/atom
**Energy relative to the elements**: -0.235 eV/f.u.



Entry 6:
Crystalline Na2AgSb at its relaxed geometry, computed with PBE.

Structure (CIF):
```
data_Na2AgSb
_chemical_formula_sum 'Na4 Ag2 Sb2'
_symmetry_space_group_name_H-M 'P 1'
_symmetry_Int_Tables_number 1
_symmetry_space_group_name_Hall 'P 1'
_cell_length_a 11.886
_cell_length_b 11.886
_cell_length_c 5.360
_cell_angle_alpha 90.00
_cell_angle_beta 90.00
_cell_angle_gamma 164.97
loop_
_atom_site_label
_atom_site_type_symbol
_atom_site_fract_x
_atom_site_fract_y
_atom_site_fract_z
Na1 Na 0.035 0.965 0.750
Na2 Na 0.216 0.784 0.250
Na3 Na 0.784 0.216 0.750
Na4 Na 0.965 0.035 0.250
Ag1 Ag 0.162 0.838 0.750
Ag2 Ag 0.838 0.162 0.250
Sb1 Sb 0.407 0.593 0.750
Sb2 Sb 0.593 0.407 0.250
```

**Crystal system**: orthorhombic
**Energy**: -19.74 eV/cell